Crystalline Ba2Zn2CrO6 at its relaxed geometry. Source: the Alexandria database, functional PBE+U.

Cell and atoms, written as POSCAR:
```
Ba2Zn2CrO6
1.0
2.958 1.708 5.415
-2.958 1.708 5.415
0.000 -3.415 5.415
Ba Zn Cr O
2 2 1 6
Direct
0.217 0.217 0.217 Ba
0.783 0.783 0.783 Ba
0.411 0.411 0.411 Zn
0.589 0.589 0.589 Zn
0.000 0.000 0.000 Cr
0.224 0.771 0.771 O
0.229 0.229 0.776 O
0.229 0.776 0.229 O
0.771 0.224 0.771 O
0.771 0.771 0.224 O
0.776 0.229 0.229 O
```

Summary:
As for the raw total energy: -5.77 eV per atom. The space group is R-3m.